A relaxed structure of TcRuWF2, computed with PBE with a Hubbard U.

Values from the calculation:
symmetry: P4/mmm (123)
magnetization: 3.05 μB per formula unit
calculated total energy: -29.8 eV/cell

```
5
Lattice="3.951 0.000 0.000 0.000 5.613 0.000 0.000 0.000 3.951" Properties=species:S:1:pos:R:3 pbc="T T T"
Ru 0.000 2.806 0.000
F 0.000 0.000 1.975
F 1.975 0.000 0.000
Tc 1.975 2.806 1.975
W 0.000 0.000 0.000
```